Record 1
Here is a crystal of FeAg2IrRh relaxed with PBEsol from Alexandria via LeMat-Bulk. Energies are from SCAN.

Cell: 4.547 4.858 4.858 Å, 90.00 90.00 90.00°
Fractional positions:
1 Ir 0.500 0.000 0.000
2 Fe 0.500 0.500 0.500
3 Ag 0.000 0.500 0.000
4 Ag 0.000 0.000 0.500
5 Rh 0.000 0.000 0.000

## Properties
**Space-group type**: P4/mmm, No. 123
**Formation energy from the elements**: 1.5504 eV per atom



Record 2
Here is a crystal of BaSr2P6N12 relaxed with PBEsol from Alexandria via LeMat-Bulk. Energies are from SCAN.

Cell: 10.059 10.059 10.059 Å, 90.00 90.00 90.00°
Fractional positions:
1 N 0.884 0.830 0.239
2 Sr 0.872 0.128 0.628
3 P 0.812 0.841 0.386
4 N 0.218 0.500 0.089
5 P 0.841 0.386 0.812
6 P 0.614 0.188 0.159
7 P 0.188 0.159 0.614
8 Sr 0.128 0.628 0.872
9 N 0.589 0.218 0.000
10 Sr 0.872 0.372 0.128
11 P 0.688 0.159 0.886
12 N 0.830 0.239 0.884
13 N 0.884 0.670 0.739
14 Ba 0.000 0.000 0.000
15 N 0.116 0.330 0.261
16 N 0.330 0.239 0.616
17 N 0.384 0.830 0.261
18 P 0.386 0.812 0.841
19 N 0.830 0.261 0.384
20 N 0.330 0.261 0.116
21 P 0.659 0.886 0.812
22 P 0.614 0.312 0.659
23 N 0.718 0.500 0.411
24 N 0.616 0.330 0.239
25 P 0.312 0.659 0.614
26 N 0.239 0.616 0.330
27 N 0.000 0.911 0.718
28 N 0.411 0.782 0.000
29 N 0.000 0.411 0.782
30 N 0.670 0.739 0.884
31 P 0.886 0.812 0.659
32 N 0.761 0.116 0.170
33 N 0.589 0.282 0.500
34 N 0.000 0.589 0.218
35 P 0.159 0.886 0.688
36 N 0.000 0.089 0.282
37 P 0.114 0.312 0.841
38 N 0.170 0.761 0.116
39 P 0.886 0.688 0.159
40 N 0.239 0.884 0.830
41 N 0.261 0.116 0.330
42 N 0.411 0.718 0.500
43 N 0.718 0.000 0.911
44 N 0.116 0.170 0.761
45 N 0.282 0.500 0.589
46 N 0.782 0.500 0.911
47 Ba 0.000 0.500 0.500
48 N 0.761 0.384 0.670
49 N 0.911 0.718 0.000
50 N 0.500 0.411 0.718
51 N 0.089 0.282 0.000
52 N 0.739 0.884 0.670
53 N 0.282 0.000 0.089
54 N 0.500 0.089 0.218
55 N 0.384 0.670 0.761
56 P 0.312 0.841 0.114
57 P 0.812 0.659 0.886
58 Sr 0.372 0.372 0.372
59 Sr 0.372 0.128 0.872
60 P 0.659 0.614 0.312
61 Ba 0.500 0.000 0.500
62 P 0.688 0.341 0.386
63 P 0.114 0.188 0.341
64 Ba 0.500 0.500 0.000
65 P 0.188 0.341 0.114
66 N 0.911 0.782 0.500
67 P 0.841 0.114 0.312
68 N 0.261 0.384 0.830
69 N 0.500 0.589 0.282
70 N 0.616 0.170 0.739
71 Sr 0.128 0.872 0.372
72 Sr 0.628 0.872 0.128
73 N 0.670 0.761 0.384
74 N 0.739 0.616 0.170
75 N 0.218 0.000 0.589
76 P 0.159 0.614 0.188
77 P 0.341 0.386 0.688
78 Sr 0.628 0.628 0.628
79 P 0.341 0.114 0.188
80 P 0.386 0.688 0.341
81 N 0.500 0.911 0.782
82 N 0.782 0.000 0.411
83 N 0.089 0.218 0.500
84 N 0.170 0.739 0.616

## Properties
**Space-group type**: Pa-3, No. 205
**Raw formation energy**: -1.1616 eV per atom